Record 1
A plane-wave DFT calculation with GGA-PBE was carried out for a relaxed LaBe3Br crystal.

Cell lengths 5.6541, 5.6541, 5.6541 Å; angles 90.00, 90.00, 90.00 degrees
Positions (direct):
La: 0.0000 0.0000 0.0000
Be: 0.5000 0.0000 0.0000
Be: 0.0000 0.0000 0.5000
Br: 0.5000 0.5000 0.5000
Be: 0.0000 0.5000 0.0000

formation energy without anion corrections: 1.743 eV/atom
distance to the lowest polymorph of the same formula: 0.6981 eV per atom
total magnetic moment: 0.0000 μB per atom
electronic total energy: -1.813 eV/atom
space-group type: Pm-3m (221)


Record 2
A plane-wave DFT calculation with GGA-PBE was carried out for a relaxed BeSi2 crystal.

Cell lengths 4.3226, 4.3226, 2.4744 Å; angles 90.00, 90.00, 120.00 degrees
Positions (direct):
Be: 0.0000 0.0000 0.0000
Si: 0.3333 0.6667 0.0013
Si: 0.6667 0.3333 0.9987

formation energy without anion corrections: 0.425 eV/atom
distance to the lowest polymorph of the same formula: 0.1682 eV per atom
total magnetic moment: 0.0001 μB per atom
electronic total energy: -4.432 eV/atom
space-group type: P6/mmm (191)


Record 3
A plane-wave DFT calculation with GGA-PBE was carried out for a relaxed K2Cu crystal.

Cell lengths 8.1953, 8.1953, 8.2722 Å; angles 90.00, 90.00, 150.99 degrees
Positions (direct):
K: 0.4830 0.5170 0.1984
K: 0.2283 0.7717 0.0518
Cu: 0.1151 0.8849 0.4149
K: 0.7717 0.2283 0.5518
Cu: 0.8849 0.1151 0.9149
K: 0.5170 0.4830 0.6984

distance to the lowest polymorph of the same formula: 0.0236 eV per atom
total magnetic moment: 0.0000 μB per atom
DFT formation energy: 1.00 eV/f.u.
electronic total energy: -1.764 eV/atom
space-group type: Cmc2_1 (36)


Record 4
A plane-wave DFT calculation with GGA-PBE was carried out for a relaxed Nb2VCoH crystal.

Cell lengths 4.3023, 4.3023, 3.3760 Å; angles 90.00, 90.00, 90.00 degrees
Positions (direct):
V: 0.5000 0.5000 0.5000
H: 0.0000 0.0000 0.0000
Nb: 0.0000 0.5000 0.0000
Co: 0.0000 0.0000 0.5000
Nb: 0.5000 0.0000 0.0000

distance to the lowest polymorph of the same formula: 0.0000 eV per atom
total magnetic moment: 0.0000 μB per atom
electronic total energy: -8.014 eV/atom
space-group type: P4/mmm (123)


Record 5
A plane-wave DFT calculation with GGA-PBE was carried out for a relaxed BaSrCl3 crystal.

Cell lengths 5.6960, 5.6960, 5.6960 Å; angles 90.00, 90.00, 90.00 degrees
Positions (direct):
Ba: 0.5000 0.5000 0.5000
Cl: 0.5000 0.0000 0.0000
Cl: 0.0000 0.5000 0.0000
Sr: 0.0000 0.0000 0.0000
Cl: 0.0000 0.0000 0.5000

formation energy without anion corrections: -1.950 eV/atom
distance to the lowest polymorph of the same formula: 0.0000 eV per atom
total magnetic moment: 0.0004 μB per atom
electronic total energy: -3.779 eV/atom
space-group type: Pm-3m (221)


Record 6
A plane-wave DFT calculation with GGA-PBE was carried out for a relaxed TbThAg crystal.

Cell lengths 3.6014, 5.1582, 5.1582 Å; angles 120.00, 90.00, 90.00 degrees
Positions (direct):
Ag: 0.3823 0.3333 0.6667
Th: 0.0310 0.0000 0.0000
Tb: 0.5867 0.6667 0.3333

distance to the lowest polymorph of the same formula: 0.2134 eV per atom
total magnetic moment: 0.0000 μB per atom
DFT formation energy: 0.35 eV/f.u.
electronic total energy: -4.850 eV/atom
space-group type: P3m1 (156)


Record 7
A plane-wave DFT calculation with GGA-PBE was carried out for a relaxed Na2AsSe3 crystal.

Cell lengths 7.4198, 7.5081, 7.5081 Å; angles 48.67, 75.72, 75.72 degrees
Positions (direct):
Se: 0.7500 0.5431 0.4569
Na: 0.4159 0.6620 0.6787
Na: 0.5841 0.3380 0.3213
Na: 0.9159 0.6787 0.6620
Se: 0.5716 0.8635 0.8539
As: 0.2500 0.0720 0.9280
Se: 0.9284 0.1461 0.1365
As: 0.7500 0.9280 0.0720
Se: 0.0716 0.8539 0.8635
Na: 0.0841 0.3213 0.3380
Se: 0.2500 0.4569 0.5431
Se: 0.4284 0.1365 0.1461

formation energy without anion corrections: -0.568 eV/atom
distance to the lowest polymorph of the same formula: 0.0000 eV per atom
total magnetic moment: 0.0000 μB per atom
electronic total energy: -3.525 eV/atom
space-group type: C2/c (15)


Record 8
A plane-wave DFT calculation with GGA-PBE was carried out for a relaxed SrPm2Si crystal.

Cell lengths 4.1099, 4.1099, 11.2693 Å; angles 79.49, 79.49, 60.00 degrees
Positions (direct):
Pm: 0.8826 0.8826 0.3522
Pm: 0.1174 0.1174 0.6478
Sr: 0.0000 0.0000 0.0000
Si: 0.5000 0.5000 0.5000

formation energy without anion corrections: -0.108 eV/atom
distance to the lowest polymorph of the same formula: 0.0562 eV per atom
total magnetic moment: 0.0795 μB per atom
electronic total energy: -4.259 eV/atom
space-group type: R-3m (166)


- What is the electronic total energy in the first record?
  -1.813 eV/atom


- Which formula does entry 3 have?
  K2Cu


- Look up the distance to the lowest polymorph of the same formula of the sixth one.
  0.2134 eV per atom